(1)
The following is a PBE calculation of PtAuIO2 after structural relaxation, from the Alexandria database.

```
PtAuIO2
1.0
3.860 0.000 0.000
0.000 3.860 0.000
0.000 0.000 8.483
I Au O Pt
1 1 2 1
Direct
0.000 0.000 0.500
0.500 0.500 0.500
0.000 0.500 0.000
0.500 0.000 0.000
0.000 0.000 0.000
```

Values from the calculation:
For the offset from the most stable computed form, the calculation gives 0 meV per atom. The total energy comes out at -4.083 eV/atom. Its density of states at the Fermi level is 3.3 states/eV per cell.


(2)
The following is a PBE calculation of NdZn3CuAg after structural relaxation, from the Alexandria database.

```
NdZn3CuAg
1.0
-1.293 -4.057 -3.746
2.235 -4.496 4.097
-6.900 1.717 0.523
Nd Zn Cu Ag
2 6 2 2
Direct
0.750 0.290 0.580
0.250 0.710 0.420
0.250 0.152 0.304
0.000 0.310 0.000
0.500 0.690 0.000
0.500 0.310 0.000
0.000 0.690 0.000
0.750 0.848 0.696
0.250 0.356 0.712
0.750 0.644 0.288
0.250 0.937 0.874
0.750 0.063 0.126
```

Values from the calculation:
The total energy comes out at -2.639 eV/atom. Its density of states at the Fermi level is 5.6 states/eV per cell. The calculation puts the energy relative to the elements at -0.3 eV/f.u.


(3)
The following is a PBE calculation of LiMn3N after structural relaxation, from the Alexandria database.

```
LiMn3N
1.0
-2.028 -3.111 0.987
1.135 0.418 3.647
-3.060 2.216 0.698
Mn Li N
3 1 1
Direct
0.000 0.500 0.000
0.000 0.000 0.500
0.500 0.000 0.000
0.500 0.500 0.500
0.000 0.000 0.000
```

Values from the calculation:
For the offset from the most stable computed form, the calculation gives 0 meV per atom. The total energy comes out at -7.616 eV/atom. Its density of states at the Fermi level is 0.3 states/eV per cell.


(4)
The following is a PBE calculation of Li2La2Pb after structural relaxation, from the Alexandria database.

```
Li2La2Pb
1.0
-3.738 1.356 -1.253
-0.984 -3.857 -1.241
-5.810 -3.053 7.091
Pb Li La
1 2 2
Direct
0.000 0.000 0.000
0.750 0.250 0.500
0.250 0.750 0.500
0.413 0.413 0.174
0.587 0.587 0.826
```

Values from the calculation:
For the offset from the most stable computed form, the calculation gives 194 meV per atom. The total energy comes out at -3.538 eV/atom. Its density of states at the Fermi level is 6.1 states/eV per cell. The calculation puts the energy relative to the elements at -0.3 eV/f.u.


(5)
The following is a PBE calculation of Ce2SmGa4 after structural relaxation, from the Alexandria database.

```
Ce2SmGa4
1.0
0.400 3.373 2.437
-2.639 2.156 -2.551
-6.222 -5.629 5.229
Ga Sm Ce
4 1 2
Direct
0.641 0.641 0.281
0.359 0.359 0.719
0.065 0.565 0.131
0.935 0.435 0.869
0.500 0.000 0.000
0.811 0.811 0.622
0.189 0.189 0.378
```

Values from the calculation:
The total energy comes out at -4.651 eV/atom. Its density of states at the Fermi level is 11.1 states/eV per cell. The calculation puts the energy relative to the elements at -3.9 eV/f.u.


(6)
The following is a PBE calculation of PmThPd after structural relaxation, from the Alexandria database.

```
PmThPd
1.0
4.275 0.002 0.022
-0.001 5.847 1.160
2.104 3.366 7.479
Pm Th Pd
2 2 2
Direct
0.147 0.477 0.708
0.853 0.523 0.292
0.579 0.883 0.842
0.421 0.117 0.158
0.773 0.882 0.455
0.227 0.118 0.545
```

Values from the calculation:
For the offset from the most stable computed form, the calculation gives 0 meV per atom. The total energy comes out at -6.228 eV/atom. Its density of states at the Fermi level is 6.0 states/eV per cell. The calculation puts the energy relative to the elements at -1.3 eV/f.u.


(7)
The following is a PBE calculation of Nd2CuOs after structural relaxation, from the Alexandria database.

```
Nd2CuOs
1.0
4.128 0.000 0.000
2.064 3.575 0.000
2.064 1.192 8.912
Nd Os Cu
2 1 1
Direct
0.110 0.110 0.671
0.890 0.890 0.329
0.500 0.500 0.500
0.000 0.000 0.000
```

Values from the calculation:
The total energy comes out at -5.681 eV/atom. Its density of states at the Fermi level is 2.2 states/eV per cell. The calculation puts the energy relative to the elements at 2.1 eV/f.u.


(8)
The following is a PBE calculation of YCoBi2P after structural relaxation, from the Alexandria database.

```
YCoBi2P
1.0
5.404 0.000 0.000
0.000 5.149 0.000
0.000 0.000 5.404
Y P Co Bi
1 1 1 2
Direct
0.000 0.500 0.000
0.000 0.000 0.000
0.500 0.500 0.500
0.000 0.000 0.500
0.500 0.000 0.000
```

Values from the calculation:
The total energy comes out at -4.782 eV/atom. Its density of states at the Fermi level is 10.9 states/eV per cell. The calculation puts the energy relative to the elements at 2.8 eV/f.u.


(9)
The following is a PBE calculation of EuLuCdPd after structural relaxation, from the Alexandria database.

```
EuLuCdPd
1.0
5.163 0.000 0.000
2.582 4.471 0.000
2.582 1.490 4.216
Eu Lu Pd Cd
1 1 1 1
Direct
0.500 0.500 0.500
0.000 0.000 0.000
0.250 0.250 0.250
0.750 0.750 0.750
```

Values from the calculation:
The total energy comes out at -5.689 eV/atom. Its density of states at the Fermi level is 8.5 states/eV per cell. The calculation puts the energy relative to the elements at -1.9 eV/f.u.


(10)
The following is a PBE calculation of ThFeSi3Tc after structural relaxation, from the Alexandria database.

```
ThFeSi3Tc
1.0
5.651 0.000 0.000
0.000 7.234 0.000
0.000 -3.617 5.331
Th Fe Si Tc
2 2 6 2
Direct
0.750 0.241 0.481
0.250 0.759 0.519
0.250 0.038 0.075
0.750 0.962 0.925
0.250 0.236 0.471
0.000 0.241 0.000
0.500 0.759 0.000
0.500 0.241 0.000
0.000 0.759 0.000
0.750 0.764 0.529
0.250 0.446 0.893
0.750 0.554 0.107
```

Values from the calculation:
The total energy comes out at -7.423 eV/atom. Its density of states at the Fermi level is 5.9 states/eV per cell.


(11)
The following is a PBE calculation of Ac2ScAl3Ga12 after structural relaxation, from the Alexandria database.

```
Ac2ScAl3Ga12
1.0
-5.290 7.958 5.306
-6.679 2.181 8.372
-0.864 5.270 9.536
Ac Sc Al Ga
2 1 3 12
Direct
0.641 0.641 0.641
0.359 0.359 0.359
0.000 0.000 0.000
0.500 0.000 0.000
0.000 0.500 0.000
0.000 0.000 0.500
0.410 0.410 0.823
0.921 0.921 0.366
0.366 0.921 0.921
0.823 0.410 0.410
0.921 0.366 0.921
0.410 0.823 0.410
0.590 0.590 0.177
0.079 0.079 0.634
0.634 0.079 0.079
0.177 0.590 0.590
0.079 0.634 0.079
0.590 0.177 0.590
```

Values from the calculation:
The total energy comes out at -3.605 eV/atom. Its density of states at the Fermi level is 9.1 states/eV per cell. The calculation puts the energy relative to the elements at -2.8 eV/f.u.


(12)
The following is a PBE calculation of YZrZn2Rh after structural relaxation, from the Alexandria database.

```
YZrZn2Rh
1.0
4.987 0.000 0.000
0.000 5.393 0.000
0.000 0.000 4.987
Y Zn Rh Zr
1 2 1 1
Direct
0.000 0.500 0.000
0.000 0.000 0.500
0.500 0.000 0.000
0.500 0.500 0.500
0.000 0.000 0.000
```

Values from the calculation:
The total energy comes out at -3.734 eV/atom. Its density of states at the Fermi level is 5.9 states/eV per cell. The calculation puts the energy relative to the elements at 6.2 eV/f.u.


(13)
The following is a PBE calculation of Mn2HAu after structural relaxation, from the Alexandria database.

```
Mn2HAu
1.0
-2.457 -0.495 1.090
-0.345 -2.125 1.684
0.547 2.886 5.970
H Mn Au
1 2 1
Direct
0.000 0.000 0.000
0.285 0.285 0.144
0.715 0.715 0.856
0.500 0.500 0.500
```

Values from the calculation:
For the offset from the most stable computed form, the calculation gives 0 meV per atom. The total energy comes out at -6.045 eV/atom. Its density of states at the Fermi level is 3.5 states/eV per cell.


(14)
The following is a PBE calculation of Dy2ZnNi3 after structural relaxation, from the Alexandria database.

```
Dy2ZnNi3
1.0
5.515 -0.209 0.000
-0.423 5.503 0.000
-2.546 -2.647 7.094
Dy Zn Ni
4 2 6
Direct
0.250 0.750 0.500
0.753 0.753 0.000
0.750 0.250 0.500
0.247 0.247 0.000
0.666 0.666 0.333
0.334 0.334 0.667
0.330 0.835 0.165
0.165 0.670 0.835
0.670 0.165 0.835
0.835 0.330 0.165
0.165 0.165 0.330
0.835 0.835 0.670
```

Values from the calculation:
For the offset from the most stable computed form, the calculation gives 16 meV per atom. The total energy comes out at -5.020 eV/atom. Its density of states at the Fermi level is 11.5 states/eV per cell. The calculation puts the energy relative to the elements at -2.3 eV/f.u.


(15)
The following is a PBE calculation of TlCdGaPb after structural relaxation, from the Alexandria database.

```
TlCdGaPb
1.0
5.315 0.000 0.000
2.657 4.603 0.000
2.657 1.534 4.339
Pb Tl Ga Cd
1 1 1 1
Direct
0.500 0.500 0.500
0.000 0.000 0.000
0.250 0.250 0.250
0.750 0.750 0.750
```

Values from the calculation:
The total energy comes out at -2.438 eV/atom. Its density of states at the Fermi level is 1.6 states/eV per cell. The calculation puts the energy relative to the elements at 0.3 eV/f.u.


(16)
The following is a PBE calculation of Pm6Cd2Os after structural relaxation, from the Alexandria database.

```
Pm6Cd2Os
1.0
8.307 -0.141 2.946
-4.466 7.168 2.527
-0.054 -0.141 8.814
Pm Cd Os
12 4 2
Direct
0.166 0.757 0.077
0.834 0.243 0.923
0.166 0.243 0.591
0.834 0.757 0.409
0.451 0.270 0.819
0.549 0.730 0.181
0.089 0.270 0.181
0.911 0.730 0.819
0.333 0.070 0.263
0.667 0.930 0.737
0.333 0.596 0.737
0.667 0.404 0.263
0.143 0.643 0.500
0.857 0.357 0.500
0.360 0.000 0.640
0.640 0.000 0.360
0.500 0.500 0.000
0.000 0.000 0.000
```

Values from the calculation:
For the offset from the most stable computed form, the calculation gives 0 meV per atom. The total energy comes out at -4.717 eV/atom. Its density of states at the Fermi level is 16.8 states/eV per cell. The calculation puts the energy relative to the elements at -0.9 eV/f.u.


(17)
The following is a PBE calculation of Ho4CoIr after structural relaxation, from the Alexandria database.

```
Ho4CoIr
1.0
5.899 -0.487 -1.649
-2.764 6.807 -2.682
-0.433 -0.452 7.796
Ho Co Ir
8 2 2
Direct
0.774 0.643 0.763
0.100 0.950 0.310
0.726 0.237 0.357
0.400 0.690 0.050
0.600 0.310 0.950
0.274 0.763 0.643
0.900 0.050 0.690
0.226 0.357 0.237
0.250 0.002 0.998
0.750 0.998 0.002
0.750 0.637 0.363
0.250 0.363 0.637
```

Values from the calculation:
For the offset from the most stable computed form, the calculation gives 0 meV per atom. The total energy comes out at -6.161 eV/atom. Its density of states at the Fermi level is 13.1 states/eV per cell. The calculation puts the energy relative to the elements at -2.7 eV/f.u.